# HgTeAu2

A relaxed HgTeAu2 crystal (PBE-GGA, the Alexandria database).

abc: 14.4637 2.9702 4.8837
angles: 90.00 108.80 90.00
Space group Cm (No. 8)
Asymmetric unit:
Hg 0.0000 0.0000 0.0000 x2
Te 0.2347 0.0000 0.7558 x2
Au 0.2994 0.5000 0.3176 x2
Au 0.4921 0.0000 0.4918 x2

Computed properties:
distance to the lowest polymorph of the same formula: 88 meV/atom
formation energy without anion corrections: 0.122 eV per atom
V: 24.826 Å³ per atom